*A*
Here is crystalline Cd2Ag at its relaxed geometry from Alexandria via LeMat-Bulk. Energies are from PBEsol.

Cell lengths 3.0339, 5.6831, 6.9772 Å; angles 103.63, 90.00, 105.48 degrees
Fractional positions:
Ag (0.9708, 0.9416, 0.1946)
Ag (0.0292, 0.0584, 0.8054)
Cd (0.3147, 0.6294, 0.8692)
Cd (0.6853, 0.3706, 0.1308)
Cd (0.6365, 0.2731, 0.5310)
Cd (0.3635, 0.7269, 0.4690)

Results
- SG = C2/m (12)
- total magnetization (μB/f.u.) = 0.0

---

*B*
Here is crystalline Cd2Ag at its relaxed geometry from Alexandria via LeMat-Bulk. Energies are from PBEsol.

Cell lengths 8.7149, 8.7149, 8.7149 Å; angles 60.00, 60.00, 60.00 degrees
Fractional positions:
Ag (0.9790, 0.3403, 0.3403)
Ag (0.9097, 0.9097, 0.9097)
Ag (0.9097, 0.2710, 0.9097)
Ag (0.3403, 0.9790, 0.3403)
Ag (0.3403, 0.3403, 0.9790)
Ag (0.2710, 0.9097, 0.9097)
Ag (0.9097, 0.9097, 0.2710)
Ag (0.3403, 0.3403, 0.3403)
Cd (0.3141, 0.6859, 0.3141)
Cd (0.1250, 0.1250, 0.1250)
Cd (0.9359, 0.5641, 0.5641)
Cd (0.5641, 0.5641, 0.9359)
Cd (0.5641, 0.9359, 0.5641)
Cd (0.6859, 0.6859, 0.3141)
Cd (0.1250, 0.6250, 0.1250)
Cd (0.9359, 0.5641, 0.9359)
Cd (0.6859, 0.3141, 0.6859)
Cd (0.9359, 0.9359, 0.5641)
Cd (0.3141, 0.3141, 0.6859)
Cd (0.6250, 0.1250, 0.1250)
Cd (0.5641, 0.9359, 0.9359)
Cd (0.1250, 0.1250, 0.6250)
Cd (0.3141, 0.6859, 0.6859)
Cd (0.6859, 0.3141, 0.3141)

Results
- SG = Fd-3m (227)
- total magnetization (μB/f.u.) = 0.0

---

Most stable structure - *A*; separation to the second - 5.2 kJ/mol of atoms.